Here is a relaxed Nd6Zn3Hg crystal from the Alexandria database. Energies are from PBE-GGA.

a b c (Å): 5.226 9.473 11.650
angles (deg): 107.27 90.00 90.00
Positions (direct):
Zn  0.750  0.229  0.024
Zn  0.750  0.618  0.215
Hg  0.750  0.056  0.400
Nd  0.250  0.112  0.877
Zn  0.750  0.468  0.621
Zn  0.250  0.382  0.785
Zn  0.250  0.532  0.379
Nd  0.250  0.469  0.095
Nd  0.750  0.877  0.848
Nd  0.750  0.724  0.493
Zn  0.250  0.771  0.976
Nd  0.750  0.351  0.316
Nd  0.250  0.276  0.507
Nd  0.750  0.888  0.123
Nd  0.750  0.165  0.690
Hg  0.250  0.944  0.600
Nd  0.250  0.123  0.152
Nd  0.750  0.531  0.905
Nd  0.250  0.649  0.684
Nd  0.250  0.835  0.310

Values from the calculation:
Energy of formation (eV per atom): -0.23
Spin magnetization (μB per cell): 0.0
E_tot (eV/atom): -3.51
Space-group type: No. 11